(1)
! Ba2Tl6ZnCd (PBE, relaxed); values from VASP
! * total magnetization: 0.0 μB per cell
! * SG: No. 166
! * calculated density: 8.44 Mg/m³
! * Fermi-level density of states: 6.6 states/eV per cell
! * formation enthalpy at 0 K: -14.8 kJ per mole of atoms
&SYSTEM
  ibrav = 0, nat = 20, ntyp = 4
/
ATOMIC_SPECIES
Ba 137.33 Ba.upf
Tl 204.38 Tl.upf
Zn 65.41 Zn.upf
Cd 112.41 Cd.upf
CELL_PARAMETERS angstrom
3.807 2.198 13.151
-3.807 2.198 13.151
0.000 -4.396 13.151
ATOMIC_POSITIONS angstrom
Ba 0.000 0.000 4.307
Ba 0.000 0.000 11.081
Ba 0.000 0.000 28.371
Ba 0.000 0.000 35.146
Tl -2.198 -1.269 18.494
Tl 0.000 -1.930 14.437
Tl -1.672 0.965 14.437
Tl 0.000 -2.537 20.959
Tl -2.198 1.269 20.959
Tl -1.672 -0.965 25.015
Tl 1.672 0.965 14.437
Tl 2.198 -1.269 18.494
Tl 0.000 2.537 18.494
Tl 1.672 -0.965 25.015
Tl 0.000 1.930 25.015
Tl 2.198 1.269 20.959
Zn 0.000 0.000 0.000
Zn 0.000 0.000 19.726
Cd 0.000 0.000 16.822
Cd 0.000 0.000 22.630



(2)
! Ba2TlZn3Cd4 (PBE, relaxed); values from VASP
! * total magnetization: 0.0 μB per cell
! * SG: No. 115
! * calculated density: 6.85 Mg/m³
! * Fermi-level density of states: 7.1 states/eV per cell
! * formation enthalpy at 0 K: -19.7 kJ per mole of atoms
&SYSTEM
  ibrav = 0, nat = 10, ntyp = 4
/
ATOMIC_SPECIES
Ba 137.33 Ba.upf
Tl 204.38 Tl.upf
Zn 65.41 Zn.upf
Cd 112.41 Cd.upf
CELL_PARAMETERS angstrom
4.837 0.000 0.000
0.000 4.837 0.000
0.000 0.000 11.653
ATOMIC_POSITIONS angstrom
Ba 0.000 2.418 2.845
Ba 2.418 0.000 8.808
Tl 0.000 0.000 5.827
Zn 0.000 2.418 10.237
Zn 2.418 0.000 1.416
Zn 2.418 2.418 5.827
Cd 0.000 0.000 0.000
Cd 0.000 2.418 7.506
Cd 2.418 0.000 4.147
Cd 2.418 2.418 0.000



(3)
! BaTlZnCd2 (PBE, relaxed); values from VASP
! * total magnetization: 0.0 μB per cell
! * SG: No. 123
! * calculated density: 6.85 Mg/m³
! * Fermi-level density of states: 4.0 states/eV per cell
! * formation enthalpy at 0 K: -7.7 kJ per mole of atoms
&SYSTEM
  ibrav = 0, nat = 5, ntyp = 4
/
ATOMIC_SPECIES
Ba 137.33 Ba.upf
Tl 204.38 Tl.upf
Zn 65.41 Zn.upf
Cd 112.41 Cd.upf
CELL_PARAMETERS angstrom
5.317 0.000 0.000
0.000 5.317 0.000
0.000 0.000 5.415
ATOMIC_POSITIONS angstrom
Ba 0.000 0.000 0.000
Tl 2.658 2.658 0.000
Zn 2.658 2.658 2.708
Cd 0.000 2.658 2.708
Cd 2.658 0.000 2.708



(4)
! BaTlZnCd (PBE, relaxed); values from VASP
! * total magnetization: 0.0 μB per cell
! * SG: No. 216
! * calculated density: 7.42 Mg/m³
! * Fermi-level density of states: 2.0 states/eV per cell
! * formation enthalpy at 0 K: -17.0 kJ per mole of atoms
&SYSTEM
  ibrav = 0, nat = 4, ntyp = 4
/
ATOMIC_SPECIES
Ba 137.33 Ba.upf
Tl 204.38 Tl.upf
Zn 65.41 Zn.upf
Cd 112.41 Cd.upf
CELL_PARAMETERS angstrom
0.000 3.874 3.874
3.874 0.000 3.874
3.874 3.874 0.000
ATOMIC_POSITIONS angstrom
Ba 0.000 0.000 0.000
Tl 3.874 3.874 3.874
Zn 1.937 1.937 1.937
Cd 5.810 5.810 5.810



(5)
! BaTmCd4 (PBE, relaxed); values from VASP
! * total magnetization: 0.0 μB per cell
! * SG: No. 216
! * calculated density: 7.73 Mg/m³
! * Fermi-level density of states: 5.9 states/eV per cell
! * formation enthalpy at 0 K: -17.3 kJ per mole of atoms
&SYSTEM
  ibrav = 0, nat = 6, ntyp = 3
/
ATOMIC_SPECIES
Ba 137.33 Ba.upf
Tm 168.93 Tm.upf
Cd 112.41 Cd.upf
CELL_PARAMETERS angstrom
0.000 4.330 4.330
4.330 0.000 4.330
4.330 4.330 0.000
ATOMIC_POSITIONS angstrom
Ba 0.000 0.000 0.000
Tm 6.495 6.495 6.495
Cd 3.253 3.253 3.253
Cd 5.407 5.407 3.253
Cd 5.407 3.253 5.407
Cd 3.253 5.407 5.407



(6)
! BaTmCd17 (PBE, relaxed); values from VASP
! * total magnetization: 0.0 μB per cell
! * SG: No. 160
! * calculated density: 8.08 Mg/m³
! * Fermi-level density of states: 7.2 states/eV per cell
! * formation enthalpy at 0 K: -12.3 kJ per mole of atoms
&SYSTEM
  ibrav = 0, nat = 19, ntyp = 3
/
ATOMIC_SPECIES
Ba 137.33 Ba.upf
Tm 168.93 Tm.upf
Cd 112.41 Cd.upf
CELL_PARAMETERS angstrom
5.099 2.944 5.059
-5.099 2.944 5.059
0.000 -5.888 5.059
ATOMIC_POSITIONS angstrom
Ba 0.000 0.000 0.000
Tm 0.000 0.000 10.048
Cd -1.549 -2.604 5.084
Cd -3.029 -0.040 5.084
Cd -2.412 -1.392 7.998
Cd 0.000 0.000 3.734
Cd 0.000 -3.187 7.532
Cd -2.760 1.594 7.532
Cd 1.549 -2.604 5.084
Cd -1.480 2.643 5.084
Cd 0.000 0.000 6.734
Cd -2.143 -1.237 12.359
Cd 3.029 -0.040 5.084
Cd 1.480 2.643 5.084
Cd 2.412 -1.392 7.998
Cd 0.000 2.785 7.998
Cd 2.760 1.594 7.532
Cd 2.143 -1.237 12.359
Cd 0.000 2.474 12.359



(7)
! BaTmCd (PBE, relaxed); values from VASP
! * energy above the lowest structure with this stoichiometry: 0 meV/atom
! * total magnetization: 0.6 μB per cell
! * SG: No. 139
! * calculated density: 6.49 Mg/m³
! * Fermi-level density of states: 5.0 states/eV per cell
! * formation enthalpy at 0 K: -13.3 kJ per mole of atoms
&SYSTEM
  ibrav = 0, nat = 6, ntyp = 3
/
ATOMIC_SPECIES
Ba 137.33 Ba.upf
Tm 168.93 Tm.upf
Cd 112.41 Cd.upf
CELL_PARAMETERS angstrom
-1.945 1.945 14.160
1.945 -1.945 14.160
1.945 1.945 -14.160
ATOMIC_POSITIONS angstrom
Ba 0.000 0.000 2.029
Ba 0.000 0.000 26.292
Tm 0.000 0.000 6.017
Tm 0.000 0.000 22.304
Cd 0.000 0.000 9.714
Cd 0.000 0.000 18.606



(8)
! Ba3TmCd4 (PBE, relaxed); values from VASP
! * total magnetization: 0.0 μB per cell
! * SG: No. 123
! * calculated density: 6.21 Mg/m³
! * Fermi-level density of states: 3.7 states/eV per cell
! * formation enthalpy at 0 K: -27.5 kJ per mole of atoms
&SYSTEM
  ibrav = 0, nat = 8, ntyp = 3
/
ATOMIC_SPECIES
Ba 137.33 Ba.upf
Tm 168.93 Tm.upf
Cd 112.41 Cd.upf
CELL_PARAMETERS angstrom
4.030 0.000 0.000
0.000 4.030 0.000
0.000 0.000 16.956
ATOMIC_POSITIONS angstrom
Ba 0.000 0.000 0.000
Ba 0.000 0.000 4.537
Ba 0.000 0.000 12.419
Tm 0.000 0.000 8.478
Cd 2.015 2.015 2.247
Cd 2.015 2.015 6.888
Cd 2.015 2.015 10.069
Cd 2.015 2.015 14.710



no.,DFT total energy (eV per atom)
1,-2.177
2,-1.573
3,-1.558
4,-1.795
5,-1.855
6,-1.283
7,-2.574
8,-2.023